Density functional theory data (GGA+U) for a relaxed structure of CrHgF2.

Results
The density comes out at 5.0 Mg/m³. The excess energy over the best structure of this formula in the dataset comes out at 0.000 eV per atom. The space group is No. 141. The value obtained for the uncorrected energy is -4.553 eV per atom.

abc: 5.983 5.983 6.892
angles: 64.27 64.27 90.00
Sites, in units of the cell vectors:
Hg 0.000 0.000 0.000
Hg 0.750 0.250 0.500
Cr 0.250 0.750 0.500
Cr 0.500 0.500 0.000
F 0.376 0.625 0.250
F 0.374 0.125 0.250
F 0.875 0.624 0.750
F 0.375 0.626 0.750